(1)
SCAN BaIn2Pb2, PBEsol geometry; total moment = 0.00 μB per cell; SG = No. 139; final energy = -51.990 eV per atom; formation energy = -0.41 eV per atom
1.0
4.862 0.000 0.000
0.000 4.862 0.000
-2.431 -2.431 6.869
Pb Ba In
2 1 2
direct
0.386 0.386 0.772
0.614 0.614 0.228
0.000 0.000 0.000
0.250 0.750 0.500
0.750 0.250 0.500

=====

(2)
SCAN BaInPb2, PBEsol geometry; total moment = 0.00 μB per cell; SG = No. 12; final energy = -56.584 eV per atom; formation energy = -0.46 eV per atom
1.0
-3.891 -2.358 0.115
2.491 0.042 -4.946
2.711 -4.311 3.305
Pb Ba In
2 1 1
direct
0.762 0.524 0.823
0.238 0.476 0.177
0.000 0.000 0.500
0.500 0.000 0.000

=====

(3)
SCAN BaIn3Pb, PBEsol geometry; total moment = 0.00 μB per cell; SG = No. 221; final energy = -43.039 eV per atom; formation energy = 0.06 eV per atom
1.0
-1.094 -3.065 -4.735
5.364 0.925 -1.838
1.743 -4.771 2.685
Pb Ba In
1 1 3
direct
0.000 0.000 0.000
0.500 0.500 0.500
0.000 0.500 0.000
0.000 0.000 0.500
0.500 0.000 0.000

=====

(4)
SCAN BaInPb2, PBEsol geometry; total moment = 0.00 μB per cell; SG = No. 8; final energy = -56.564 eV per atom; formation energy = -0.44 eV per atom
1.0
4.607 0.000 0.000
-2.303 5.055 -0.004
0.000 -2.069 5.704
Pb Ba In
2 1 1
direct
0.003 0.006 0.011
0.263 0.526 0.818
0.498 0.996 0.496
0.736 0.473 0.175

=====

(5)
SCAN BaInPb, PBEsol geometry; total moment = 0.00 μB per cell; SG = No. 156; final energy = -50.234 eV per atom; formation energy = -0.66 eV per atom
1.0
4.925 0.000 0.000
-2.462 4.265 0.000
0.000 0.000 5.007
Pb Ba In
1 1 1
direct
0.667 0.333 0.419
0.000 0.000 0.997
0.333 0.667 0.584

=====

(6)
SCAN BaInPb2, PBEsol geometry; total moment = 0.00 μB per cell; SG = No. 123; final energy = -56.556 eV per atom; formation energy = -0.43 eV per atom
1.0
-2.881 -3.098 -2.416
-0.455 -2.815 4.152
-4.036 2.681 1.375
Pb Ba In
2 1 1
direct
0.000 0.000 0.500
0.000 0.500 0.000
0.500 0.500 0.500
0.500 0.000 0.000

=====

(7)
SCAN BaIn2Pb, PBEsol geometry; total moment = 0.00 μB per cell; SG = No. 8; final energy = -45.985 eV per atom; formation energy = -0.46 eV per atom
1.0
-2.369 2.334 -3.324
0.210 -5.173 -0.456
-4.497 1.446 4.221
Pb Ba In
1 1 2
direct
0.515 0.031 0.572
0.746 0.491 0.242
0.981 0.963 0.910
0.258 0.516 0.776

=====

(8)
SCAN Ba2InPb2, PBEsol geometry; total moment = 0.00 μB per cell; SG = No. 127; final energy = -53.451 eV per atom; formation energy = -0.64 eV per atom
1.0
-4.484 0.705 -2.874
-3.468 -6.312 3.862
-2.870 5.078 5.723
Pb Ba In
4 4 2
direct
0.000 0.365 0.865
0.000 0.865 0.635
0.000 0.635 0.135
0.000 0.135 0.365
0.500 0.169 0.669
0.500 0.669 0.831
0.500 0.831 0.331
0.500 0.331 0.169
0.000 0.000 0.000
0.000 0.500 0.500

=====

(9)
SCAN BaInPb2, PBEsol geometry; total moment = 0.00 μB per cell; SG = No. 216; final energy = -56.477 eV per atom; formation energy = -0.35 eV per atom
1.0
5.660 0.000 0.000
2.830 4.902 0.000
2.830 1.634 4.621
Ba In Pb
1 1 2
direct
0.500 0.500 0.500
0.250 0.250 0.250
0.000 0.000 0.000
0.750 0.750 0.750

=====

(10)
SCAN Ba2InPb2, PBEsol geometry; total moment = 0.00 μB per cell; SG = No. 139; final energy = -52.981 eV per atom; formation energy = -0.17 eV per atom
1.0
-1.626 3.348 -4.352
4.166 -2.205 -3.252
-5.400 -5.293 1.712
Pb Ba In
2 2 1
direct
0.396 0.396 0.791
0.604 0.604 0.209
0.250 0.750 0.500
0.750 0.250 0.500
0.000 0.000 0.000

=====

(11)
SCAN Ba3InPb, PBEsol geometry; total moment = 2.55 μB per cell; SG = No. 221; final energy = -45.744 eV per atom; formation energy = -0.18 eV per atom
1.0
6.588 0.000 0.000
0.000 6.588 0.000
0.000 0.000 6.588
Pb Ba In
1 3 1
direct
0.000 0.000 0.000
0.000 0.500 0.000
0.000 0.000 0.500
0.500 0.000 0.000
0.500 0.500 0.500

=====

(12)
SCAN BaInPb4, PBEsol geometry; total moment = 0.00 μB per cell; SG = No. 216; final energy = -62.958 eV per atom; formation energy = -0.28 eV per atom
1.0
-0.085 -6.411 0.987
-0.113 -4.059 -5.059
5.230 -3.569 -1.412
Ba In Pb
1 1 4
direct
0.750 0.750 0.750
0.000 0.000 0.000
0.375 0.375 0.375
0.375 0.375 0.874
0.874 0.375 0.375
0.375 0.874 0.375